PuZr2P | PBE-GGA | optimized geometry

```
PuZr2P
1.0
1.7564 1.0140 8.5034
-1.7564 1.0140 8.5034
0.0000 -2.0281 8.5034
Pu Zr P
1 2 1
Cartesian
0.0000 0.0000 0.0000
0.0000 0.0000 5.8326
0.0000 0.0000 19.6777
0.0000 0.0000 12.7551
```

Computed properties:
Its formation energy is -511 meV per atom. The calculated volume comes out at 90.87 Å³/f.u. Its density of states at the Fermi level is 1.8963 states/eV per atom. The symmetry is R-3m, No. 166.



RbP | PBE-GGA | optimized geometry

```
RbP
1.0
0.0000 3.9119 3.9119
3.9119 0.0000 3.9119
3.9119 3.9119 0.0000
Rb P
1 1
Cartesian
0.0000 0.0000 0.0000
1.9560 1.9560 1.9560
```

Computed properties:
Its formation energy is 780 meV per atom. The calculated volume comes out at 119.73 Å³/f.u. The calculation puts the offset from the most stable computed form at 1.153 eV per atom. Its density of states at the Fermi level is 0.9311 states/eV per atom. The symmetry is F-43m, No. 216.



RbP | PBE-GGA | optimized geometry

```
RbP
1.0
3.4593 0.0000 0.0000
0.0000 21.7409 0.0000
0.0000 0.0000 5.9044
Rb P
6 6
Cartesian
0.8648 2.1563 0.5860
0.8648 8.7141 0.5860
0.8648 16.3056 2.3860
2.5944 5.4352 3.5185
2.5944 13.0268 5.3184
2.5944 19.5845 5.3184
0.8648 0.3837 3.5241
0.8648 5.4352 0.5650
0.8648 10.4867 3.5241
2.5944 11.2541 2.3803
2.5944 16.3056 5.3394
2.5944 21.3572 2.3803
```

Computed properties:
Its formation energy is -74 meV per atom. The calculated volume comes out at 74.01 Å³/f.u. The calculation puts the offset from the most stable computed form at 0.299 eV per atom. Its density of states at the Fermi level is 0.7353 states/eV per atom. The symmetry is Pmmn, No. 59.



RbP | PBE-GGA | optimized geometry

```
RbP
1.0
5.7232 -2.7828 0.0000
5.7232 2.7828 0.0000
-1.4170 0.0000 3.8091
Rb P
2 2
Cartesian
1.1808 0.0000 1.5191
8.8487 0.0000 2.2900
4.8672 0.0000 0.7639
5.1623 0.0000 3.0452
```

Computed properties:
Its formation energy is -281 meV per atom. The calculated volume comes out at 60.67 Å³/f.u. The calculation puts the offset from the most stable computed form at 0.092 eV per atom. Its density of states at the Fermi level is 0.2877 states/eV per atom. The symmetry is C2/m, No. 12.



RbP | PBE-GGA | optimized geometry

```
RbP
1.0
2.7152 -5.9743 0.0000
2.7152 5.9743 0.0000
0.0000 0.0000 3.8180
Rb P
2 2
Cartesian
2.7152 4.2930 2.8635
2.7152 -4.2930 0.9545
2.7152 0.6629 2.8635
2.7152 -0.6629 0.9545
```

Computed properties:
Its formation energy is -298 meV per atom. The calculated volume comes out at 61.93 Å³/f.u. The calculation puts the offset from the most stable computed form at 0.075 eV per atom. Its density of states at the Fermi level is 0.1999 states/eV per atom. The symmetry is Cmcm, No. 63.



RbP | PBE-GGA | optimized geometry

```
RbP
1.0
-2.7128 6.7680 3.3812
2.7128 -6.7680 3.3812
2.7128 6.7680 -3.3812
Rb P
3 3
Cartesian
0.0000 0.0000 0.0000
0.0000 4.0357 1.1595
0.0000 9.5003 1.1595
2.7128 -1.8153 1.2035
2.7128 1.8153 1.2035
2.7128 0.0000 2.2717
```

Computed properties:
Its formation energy is -329 meV per atom. The calculated volume comes out at 82.77 Å³/f.u. The calculation puts the offset from the most stable computed form at 0.044 eV per atom. The symmetry is Imm2, No. 44.



RbP | PBE-GGA | optimized geometry

```
RbP
1.0
-6.2492 6.2492 2.0578
6.2492 -6.2492 2.0578
6.2492 6.2492 -2.0578
Rb P
4 4
Cartesian
3.0569 0.0000 0.0000
9.4415 0.0000 0.0000
0.0000 3.0569 0.0000
0.0000 9.4415 0.0000
3.4883 3.4883 0.0000
2.7609 -2.7609 2.0578
-2.7609 2.7609 2.0578
2.7609 2.7609 2.0578
```

Computed properties:
Its formation energy is -258 meV per atom. The calculated volume comes out at 80.36 Å³/f.u. The calculation puts the offset from the most stable computed form at 0.115 eV per atom. Its density of states at the Fermi level is 0.3992 states/eV per atom. The symmetry is I4/mmm, No. 139.



RbP4 | PBE-GGA | optimized geometry

```
RbP4
1.0
7.1544 0.0000 0.0000
0.0000 7.1544 0.0000
0.0000 0.0000 7.1544
Rb P
1 4
Cartesian
0.0000 0.0000 0.0000
0.0000 0.0000 3.5772
0.0000 3.5772 0.0000
3.5772 0.0000 0.0000
3.5772 3.5772 3.5772
```

Computed properties:
Its formation energy is 2391 meV per atom. The calculated volume comes out at 366.20 Å³/f.u. Its density of states at the Fermi level is 0.4688 states/eV per atom. The symmetry is Pm-3m, No. 221.



What did the second record say?
RbP | PBE-GGA | optimized geometry

```
RbP
1.0
0.0000 3.9119 3.9119
3.9119 0.0000 3.9119
3.9119 3.9119 0.0000
Rb P
1 1
Cartesian
0.0000 0.0000 0.0000
1.9560 1.9560 1.9560
```

Computed properties:
Its formation energy is 780 meV per atom. The calculated volume comes out at 119.73 Å³/f.u. The calculation puts the offset from the most stable computed form at 1.153 eV per atom. Its density of states at the Fermi level is 0.9311 states/eV per atom. The symmetry is F-43m, No. 216.



What is the calculated volume in the second record? 119.73 Å³/f.u.



Which of these has the lowest calculated volume? number 4



What is the calculated volume in the eighth record? 366.20 Å³/f.u.